Entry 1:
This record from Alexandria describes a relaxed structure of Y2FeIrC. The functional is PBE.

E_form   -0.37 eV/atom
Total magnetization   0.716 μB per formula unit
Raw total energy   -8.265 eV/atom

Unit cell a=4.9338 b=4.9338 c=3.6048 alpha=90.00 beta=90.00 gamma=90.00
Space group P4/mmm (No. 123)
Symmetry-distinct sites (fractional):
Y1 0.0000 0.5000 0.0000
Fe1 0.0000 0.0000 0.5000
Ir1 0.5000 0.5000 0.5000
C1 0.0000 0.0000 0.0000

***

Entry 2:
This record from Alexandria describes a relaxed structure of K2FeC2. The functional is PBE.

E_form   1.21 eV/atom
Total magnetization   4.000 μB per formula unit
Raw total energy   -4.611 eV/atom

Unit cell a=5.2169 b=5.2169 c=9.0747 alpha=90.00 beta=90.00 gamma=90.00
Space group I4/mmm (No. 139)
Symmetry-distinct sites (fractional):
K1 0.0000 0.5000 0.2500
Fe1 0.0000 0.0000 0.0000
C1 0.0000 0.0000 0.4297